Entry from Alexandria via LeMat-Bulk: a relaxed structure of MgZnSeN2 (PBE). Values from VASP.

```
&SYSTEM
  ibrav = 0, nat = 5, ntyp = 4
/
ATOMIC_SPECIES
Mg 24.30 Mg.upf
Zn 65.41 Zn.upf
Se 78.96 Se.upf
N 14.01 N.upf
ATOMIC_POSITIONS crystal
Mg 0.000 0.000 0.000
Zn 0.500 0.500 0.500
Se 0.000 0.000 0.500
N 0.000 0.500 0.000
N 0.500 0.000 0.000
CELL_PARAMETERS angstrom
4.046 0.000 0.000
0.000 4.046 0.000
0.000 0.000 5.695
```

Output
space group = P4/mmm
energy above the lowest structure with this stoichiometry = 0.180 eV/atom
formation energy without anion corrections = 1.1441 eV per atom
ρ = 3.50 Mg/m³

=====

Entry from Alexandria via LeMat-Bulk: a relaxed structure of LiZrNbMo (PBE). Values from VASP.

```
&SYSTEM
  ibrav = 0, nat = 4, ntyp = 4
/
ATOMIC_SPECIES
Li 6.94 Li.upf
Zr 91.22 Zr.upf
Nb 92.91 Nb.upf
Mo 95.94 Mo.upf
ATOMIC_POSITIONS crystal
Li 0.000 0.000 0.000
Zr 0.750 0.750 0.750
Nb 0.250 0.250 0.250
Mo 0.500 0.500 0.500
CELL_PARAMETERS angstrom
0.000 3.274 3.274
3.274 0.000 3.274
3.274 3.274 0.000
```

Output
space group = F-43m
formation enthalpy at 0 K = 0.12 eV/atom
ρ = 6.79 Mg/m³

=====

Entry from Alexandria via LeMat-Bulk: a relaxed structure of RbBa (PBE). Values from VASP.

```
&SYSTEM
  ibrav = 0, nat = 8, ntyp = 2
/
ATOMIC_SPECIES
Rb 85.47 Rb.upf
Ba 137.33 Ba.upf
ATOMIC_POSITIONS crystal
Rb 0.000 0.000 0.595
Rb 0.000 0.595 0.000
Rb 0.405 0.405 0.405
Rb 0.595 0.000 0.000
Ba 0.000 0.000 0.215
Ba 0.000 0.215 0.000
Ba 0.215 0.000 0.000
Ba 0.785 0.785 0.785
CELL_PARAMETERS angstrom
-7.080 7.080 7.080
7.080 -7.080 7.080
7.080 7.080 -7.080
```

Output
space group = I-43m
formation enthalpy at 0 K = 0.52 eV/atom
ρ = 1.04 Mg/m³

=====

Ordered DOS at the Fermi energy results: 0.31, 0.99, 1.56; unit states/eV/atom.